# 1
DFT (GGA-PBE) results for an optimized crystal structure of AlTlBr3.

Computed properties:
crystal system	triclinic
total magnetic moment	0.000	μB/cell
distance to the lowest polymorph of the same formula	0	meV per atom

a b c (Å): 6.626 8.525 8.995
angles (deg): 115.40 107.94 97.07
Space group P-1 (No. 2)
Symmetry-distinct sites (fractional):
1 Al 0.041 0.358 0.000 x2
2 Tl 0.324 0.823 0.647 x2
3 Br 0.089 0.169 0.736 x2
4 Br 0.256 0.837 0.000 x2
5 Br 0.351 0.433 0.265 x2

---

# 2
DFT (GGA-PBE) results for an optimized crystal structure of ZrTaGa.

Computed properties:
energy relative to the elements	-0.3901	eV/atom
crystal system	tetragonal
total magnetic moment	0.000	μB/cell
distance to the lowest polymorph of the same formula	0	meV per atom

a b c (Å): 3.905 3.905 7.563
angles (deg): 90.00 90.00 90.00
Space group P4/nmm (No. 129, origin choice 2)
Symmetry-distinct sites (fractional):
1 Zr 0.250 0.250 0.147 x2
2 Ta 0.250 0.750 0.500 x2
3 Ga 0.250 0.250 0.769 x2

---

# 3
DFT (GGA-PBE) results for an optimized crystal structure of AcNd4Sm3Te8.

Computed properties:
crystal system	trigonal
total magnetic moment	0.000	μB/cell
electronic total energy	-84.923	eV per formula unit

a b c (Å): 9.0263 9.0263 22.0917
angles (deg): 90.00 90.00 120.00
Space group R-3m (No. 166, hexagonal axes)
Symmetry-distinct sites (fractional):
1 Ac 0.0000 0.0000 0.0000 x3
2 Nd 0.0000 0.0000 0.5000 x3
3 Nd 0.0000 0.5000 0.5000 x9
4 Sm 0.0000 0.5000 0.0000 x9
5 Te 0.0000 0.0000 0.2515 x6
6 Te 0.0084 0.5042 0.2495 x18